one) # TcAg2Mo

TcAg2Mo at its PBEsol-relaxed geometry (meta-GGA SCAN, Alexandria).

The space group is P4mm (No. 99) and the conventional cell measures 2.962, 2.962 and 7.346 Å, with angles of 90.00, 90.00 and 90.00 degrees. The asymmetric unit holds Tc at (0.000, 0.000, 0.000), Ag at (0.000, 0.000, 0.530), Ag at (0.500, 0.500, 0.274) and Mo at (0.500, 0.500, 0.811).

Its calculated density is 10.56 g/cm3. The crystal system is tetragonal.


two) # TcAg2Mo

TcAg2Mo at its PBEsol-relaxed geometry (meta-GGA SCAN, Alexandria).

The space group is I-4m2 (No. 119) and the conventional cell measures 3.988, 3.988 and 7.693 Å, with angles of 90.00, 90.00 and 90.00 degrees. The asymmetric unit holds Tc at (0.000, 0.000, 0.000), Ag at (0.000, 0.000, 0.500), Ag at (0.000, 0.500, 0.250) and Mo at (0.000, 0.500, 0.750).

Its calculated density is 11.12 g/cm3. The crystal system is tetragonal.


one) ends up most stable, edging out the next structure by 221 meV per atom.


one) # TlAg2Mo

TlAg2Mo at its PBEsol-relaxed geometry (meta-GGA SCAN, Alexandria).

The space group is I-4m2 (No. 119) and the conventional cell measures 4.644, 4.644 and 6.634 Å, with angles of 90.00, 90.00 and 90.00 degrees. The asymmetric unit holds Tl at (0.000, 0.000, 0.000), Ag at (0.000, 0.000, 0.500), Ag at (0.000, 0.500, 0.750) and Mo at (0.000, 0.500, 0.250).

Its calculated density is 11.98 g/cm3. The crystal system is tetragonal.


two) # TlAg2Mo

TlAg2Mo at its PBEsol-relaxed geometry (meta-GGA SCAN, Alexandria).

The space group is Imm2 (No. 44) and the conventional cell measures 2.926, 4.994 and 9.760 Å, with angles of 90.00, 90.00 and 90.00 degrees. The asymmetric unit holds Tl at (0.000, 0.000, 0.000), Ag at (0.000, 0.000, 0.494), Ag at (0.000, 0.500, 0.751) and Mo at (0.000, 0.500, 0.245).

Its calculated density is 12.02 g/cm3. The crystal system is orthorhombic.


one) ends up most stable, edging out the next structure by 42 meV per atom.


one) # AgMoW2

AgMoW2 at its PBEsol-relaxed geometry (meta-GGA SCAN, Alexandria).

The space group is Cmm2 (No. 35) and the conventional cell measures 3.172, 4.378 and 9.095 Å, with angles of 90.00, 90.00 and 90.00 degrees. The asymmetric unit holds Ag at (0.000, 0.000, 0.000), Mo at (0.000, 0.500, 0.259), W at (0.000, 0.000, 0.499) and W at (0.000, 0.500, 0.741).

Its calculated density is 15.03 g/cm3. The crystal system is orthorhombic.


two) # AgMoW2

AgMoW2 at its PBEsol-relaxed geometry (meta-GGA SCAN, Alexandria).

The space group is I-4m2 (No. 119) and the conventional cell measures 4.086, 4.086 and 7.503 Å, with angles of 90.00, 90.00 and 90.00 degrees. The asymmetric unit holds Ag at (0.000, 0.000, 0.000), Mo at (0.000, 0.500, 0.250), W at (0.000, 0.000, 0.500) and W at (0.000, 0.500, 0.750).

Its calculated density is 15.15 g/cm3. The crystal system is tetragonal.


three) # AgMoW2

AgMoW2 at its PBEsol-relaxed geometry (meta-GGA SCAN, Alexandria).

The space group is P2/m (No. 10) and the conventional cell measures 2.662, 4.548 and 5.265 Å, with angles of 90.00, 98.71 and 90.00 degrees. The asymmetric unit holds Ag at (0.000, 0.000, 0.000), Mo at (0.500, 0.000, 0.500) and W at (0.254, 0.500, 0.743).

Its calculated density is 15.06 g/cm3. The crystal system is monoclinic.


one) ends up most stable, edging out the next structure by 158 meV per atom.